# 1
DFT (PBEsol) results for crystalline KLa2Hg at its relaxed geometry.

Lattice parameters (Å, degrees): 3.7410 3.7410 35.0793 90.00 90.00 120.00
Closest atoms and distances in Å follow each position.
Space group R3m (No. 160, hexagonal axes)
Inequivalent atoms, fractional coordinates:
1 K 0.0000 0.0000 0.0000 [3 per cell]  3 Hg 3.46, 6 K 3.74
2 La 0.0000 0.0000 0.2276 [3 per cell]  9 La 3.58-3.74
3 La 0.0000 0.0000 0.4797 [3 per cell]  3 Hg 3.25, 3 La 3.58
4 Hg 0.0000 0.0000 0.7438 [3 per cell]  3 La 3.25, 3 K 3.46

formation enthalpy at 0 K	1	kJ/mol of formula units

---

# 2
DFT (PBEsol) results for crystalline HoCdIn at its relaxed geometry.

Lattice parameters (Å, degrees): 4.7622 4.7622 7.2890 90.00 90.00 120.00
Closest atoms and distances in Å follow each position.
Space group P-3m1 (No. 164)
Inequivalent atoms, fractional coordinates:
1 Ho 0.0000 0.0000 0.2374 [2 per cell]  3 In 3.14, 6 Cd 3.15-3.36, 1 Ho 3.46
2 Cd 0.3333 0.6667 0.9726 [2 per cell]  3 Cd 2.78, 1 In 3.05
3 In 0.3333 0.6667 0.5540 [2 per cell]  3 In 2.86, 1 Cd 3.05, 3 Ho 3.14

formation enthalpy at 0 K	-123	kJ/mol of formula units

---

> The lowest formation enthalpy at 0 K belongs to which entry?

HoCdIn

---

> Look up the formation enthalpy at 0 K of the first one.

1 kJ/mol of formula units

---

> Which of these has the highest formation enthalpy at 0 K?

KLa2Hg

---

Repeat the first record exactly.
DFT (PBEsol) results for crystalline KLa2Hg at its relaxed geometry.

Lattice parameters (Å, degrees): 3.7410 3.7410 35.0793 90.00 90.00 120.00
Closest atoms and distances in Å follow each position.
Space group R3m (No. 160, hexagonal axes)
Inequivalent atoms, fractional coordinates:
1 K 0.0000 0.0000 0.0000 [3 per cell]  3 Hg 3.46, 6 K 3.74
2 La 0.0000 0.0000 0.2276 [3 per cell]  9 La 3.58-3.74
3 La 0.0000 0.0000 0.4797 [3 per cell]  3 Hg 3.25, 3 La 3.58
4 Hg 0.0000 0.0000 0.7438 [3 per cell]  3 La 3.25, 3 K 3.46

formation enthalpy at 0 K	1	kJ/mol of formula units